1.
The following is a DFT calculation (PBE-GGA) of crystalline LaNiIr2 at its relaxed geometry.

The structure in POSCAR format:
```
LaNiIr2
1.0
-3.119 -3.538 -1.075
-0.377 -4.286 -2.212
0.758 -3.404 4.069
Ni La Ir
1 1 2
direct
0.268 0.268 0.190 Ni
0.499 0.499 0.489 La
0.735 0.735 0.844 Ir
0.998 0.998 0.978 Ir
```

symmetry: Cm
energy: -0.525 Ry/atom
relative energy among the computed polymorphs: 519 meV/atom
ΔH_f (0 K): -35 meV/atom

=====

2.
The following is a DFT calculation (PBE-GGA) of crystalline LaNi3Ir at its relaxed geometry.

The structure in POSCAR format:
```
LaNi3Ir
1.0
-0.385 -4.854 -1.498
5.042 -0.904 1.636
-4.533 -1.046 4.556
Ni La Ir
6 2 2
direct
0.250 0.925 0.308 Ni
0.750 0.187 0.374 Ni
0.250 0.813 0.626 Ni
0.750 0.618 0.692 Ni
0.250 0.382 0.308 Ni
0.750 0.075 0.692 Ni
0.250 0.389 0.778 La
0.750 0.611 0.222 La
0.000 0.000 0.000 Ir
0.500 0.000 0.000 Ir
```

symmetry: Cmcm
energy: -0.475 Ry/atom
relative energy among the computed polymorphs: 0 meV/atom
ΔH_f (0 K): -242 meV/atom

=====

3.
The following is a DFT calculation (PBE-GGA) of crystalline LaNi2Ir2 at its relaxed geometry.

The structure in POSCAR format:
```
LaNi2Ir2
1.0
-7.086 1.315 -1.891
-1.772 -7.020 1.758
-0.565 0.815 2.686
La Ir Ni
2 4 4
direct
0.500 0.500 0.000 La
0.000 0.000 0.000 La
0.372 0.872 0.000 Ir
0.872 0.628 0.000 Ir
0.628 0.128 0.000 Ir
0.128 0.372 0.000 Ir
0.831 0.331 0.500 Ni
0.331 0.169 0.500 Ni
0.169 0.669 0.500 Ni
0.669 0.831 0.500 Ni
```

symmetry: P4/mbm
energy: -0.508 Ry/atom
relative energy among the computed polymorphs: 154 meV/atom
ΔH_f (0 K): -65 meV/atom